{
  "formula": "EuDyAu2",
  "functional": "GGA-PBE",
  "state": "optimized geometry",
  "cell": [[4.2743, 0.0000, 0.0000], [-2.1371, 3.7016, 0.0000], [0.0000, 0.0000, 21.2814]],
  "species": ["Eu", "Eu", "Eu", "Dy", "Dy", "Dy", "Au", "Au", "Au", "Au", "Au", "Au"],
  "fractional_positions": [[0.0000, 0.0000, 0.0000], [0.3333, 0.6667, 0.6667], [0.6667, 0.3333, 0.3333], [0.0000, 0.0000, 0.5000], [0.3333, 0.6667, 0.1667], [0.6667, 0.3333, 0.8333], [0.0000, 0.0000, 0.2424], [0.0000, 0.0000, 0.7576], [0.3333, 0.6667, 0.4242], [0.3333, 0.6667, 0.9091], [0.6667, 0.3333, 0.0909], [0.6667, 0.3333, 0.5758]],
  "e_above_lowest_polymorph_kcal_per_mol_atoms": 2.388,
  "ef_kj_per_mol_atoms": -69.6,
  "sg": "R-3m, No. 166",
  "dos_at_fermi_per_ev_cell": 40.46
}

=====

{
  "formula": "NbZnCrPb2",
  "functional": "GGA-PBE",
  "state": "optimized geometry",
  "cell": [[5.1958, 0.0000, 0.0000], [0.0000, 5.1958, 0.0000], [0.0000, 0.0000, 4.6459]],
  "species": ["Nb", "Zn", "Cr", "Pb", "Pb"],
  "fractional_positions": [[0.0000, 0.0000, 0.0000], [0.5000, 0.5000, 0.5000], [0.5000, 0.5000, 0.0000], [0.0000, 0.5000, 0.5000], [0.5000, 0.0000, 0.5000]],
  "ef_kj_per_mol_atoms": 120.3,
  "sg": "P4/mmm, No. 123",
  "dos_at_fermi_per_ev_cell": 6.97
}

=====

{
  "formula": "ZnCrSi2",
  "functional": "GGA-PBE",
  "state": "optimized geometry",
  "cell": [[9.1214, 0.0000, 0.0000], [0.0000, 2.7500, 0.0000], [-0.3897, 0.0000, 4.3053]],
  "species": ["Zn", "Zn", "Cr", "Cr", "Si", "Si", "Si", "Si"],
  "fractional_positions": [[0.0000, 0.0000, 0.0000], [0.5000, 0.5000, 0.0000], [0.2457, 0.5000, 0.2872], [0.7457, 0.0000, 0.2872], [0.2425, 0.0000, 0.7803], [0.4789, 0.0000, 0.4796], [0.7425, 0.5000, 0.7803], [0.9789, 0.5000, 0.4796]],
  "raw_formation_energy_ev_per_fu": 0.55,
  "sg": "Cm, No. 8",
  "dos_at_fermi_per_ev_cell": 4.97
}

=====

{
  "formula": "SrZnCu",
  "functional": "GGA-PBE",
  "state": "optimized geometry",
  "cell": [[6.7849, 0.0000, 0.0000], [0.0000, 6.7849, 0.0000], [0.0000, 0.0000, 6.7849]],
  "species": ["Sr", "Sr", "Sr", "Sr", "Zn", "Zn", "Zn", "Zn", "Cu", "Cu", "Cu", "Cu"],
  "fractional_positions": [[0.0000, 0.0000, 0.0000], [0.0000, 0.5000, 0.5000], [0.5000, 0.0000, 0.5000], [0.5000, 0.5000, 0.0000], [0.0000, 0.0000, 0.5000], [0.0000, 0.5000, 0.0000], [0.5000, 0.0000, 0.0000], [0.5000, 0.5000, 0.5000], [0.2500, 0.2500, 0.7500], [0.2500, 0.7500, 0.2500], [0.7500, 0.2500, 0.2500], [0.7500, 0.7500, 0.7500]],
  "ef_kj_per_mol_atoms": 4.9,
  "sg": "F-43m, No. 216",
  "dos_at_fermi_per_ev_cell": 9.02
}

=====

{
  "formula": "TbEr6Cd",
  "functional": "GGA-PBE",
  "state": "optimized geometry",
  "cell": [[4.5812, 2.6449, 3.3059], [-4.5812, 2.6449, 3.3059], [0.0000, -5.2899, 3.3059]],
  "species": ["Tb", "Er", "Er", "Er", "Er", "Er", "Er", "Cd"],
  "fractional_positions": [[0.0000, 0.0000, 0.0000], [0.0496, 0.5407, 0.2584], [0.2584, 0.0496, 0.5407], [0.4593, 0.7416, 0.9504], [0.5407, 0.2584, 0.0496], [0.7416, 0.9504, 0.4593], [0.9504, 0.4593, 0.7416], [0.5000, 0.5000, 0.5000]],
  "ef_kj_per_mol_atoms": 5.6,
  "sg": "R-3, No. 148",
  "dos_at_fermi_per_ev_cell": 10.11
}

=====

{
  "formula": "NiMoPd",
  "functional": "GGA-PBE",
  "state": "optimized geometry",
  "cell": [[8.8828, 0.0000, 0.0000], [0.0000, 3.6624, 0.0000], [-1.9971, 0.0000, 5.1600]],
  "species": ["Ni", "Ni", "Ni", "Ni", "Mo", "Mo", "Mo", "Mo", "Pd", "Pd", "Pd", "Pd"],
  "fractional_positions": [[0.0000, 0.0000, 0.0000], [0.1657, 0.5000, 0.8364], [0.5000, 0.5000, 0.0000], [0.6657, 0.0000, 0.8364], [0.9997, 0.0000, 0.5031], [0.3365, 0.0000, 0.1571], [0.4997, 0.5000, 0.5031], [0.8365, 0.5000, 0.1571], [0.1648, 0.5000, 0.3196], [0.3384, 0.0000, 0.6787], [0.6648, 0.0000, 0.3196], [0.8384, 0.5000, 0.6787]],
  "e_above_lowest_polymorph_kcal_per_mol_atoms": 1.804,
  "ef_kj_per_mol_atoms": 2.1,
  "sg": "Cm, No. 8",
  "dos_at_fermi_per_ev_cell": 13.60
}